A relaxed LaCdSb crystal. Source: Alexandria via LeMat-Bulk, functional PBE.

abc: 7.5176 7.5176 7.5176
angles: 90.00 90.00 90.00
Closest atoms and distances in Å follow each position.
Space group F-43m (No. 216)
Inequivalent atoms, fractional coordinates:
La1 0.0000 0.0000 0.0000 (multiplicity 4)  4 Cd 3.26, 4 Sb 3.26
Cd1 0.2500 0.2500 0.7500 (multiplicity 4)  4 La 3.26
Sb1 0.2500 0.2500 0.2500 (multiplicity 4)  4 La 3.26

As for the total DFT energy (no corrections): -11.35 eV/f.u. The mass density is 5.83 g cm⁻³. The total magnetization comes out at 0.0 μB/f.u. The volume comes out at 35.404 Å³ per atom.

=====

A relaxed LaCdSb crystal. Source: Alexandria via LeMat-Bulk, functional PBE.

abc: 5.1610 6.0635 11.2540
angles: 90.00 90.00 90.00
Closest atoms and distances in Å follow each position.
Space group Fmm2 (No. 42)
Inequivalent atoms, fractional coordinates:
La1 0.0000 0.0000 0.0000 (multiplicity 4)  4 Sb 3.25-3.62, 3 Cd 3.32-3.54
Cd1 0.0000 0.0000 0.3149 (multiplicity 4)  2 Sb 3.02, 2 La 3.32
Sb1 0.0000 0.0000 0.6751 (multiplicity 4)  2 Cd 3.02, 2 La 3.25

As for the total DFT energy (no corrections): -11.50 eV/f.u. The mass density is 7.04 g cm⁻³. The total magnetization comes out at 0.0 μB/f.u. The volume comes out at 29.349 Å³ per atom.